one.
Below is a relaxed structure of BeReI3, with properties calculated at the PBE level.

Geometry as extended XYZ:
```
5
Lattice="4.9824 0.0000 0.0000 0.0000 4.9824 0.0000 0.0000 0.0000 4.9824" Properties=species:S:1:pos:R:3 pbc="T T T"
I 0.0000 2.4912 0.0000
I 0.0000 0.0000 2.4912
I 2.4912 0.0000 0.0000
Re 2.4912 2.4912 2.4912
Be 0.0000 0.0000 0.0000
```

Summary:
Symmetry = Pm-3m (221)
Crystal system = cubic
Size of the total moment = 0.0 μB per formula unit



two.
Below is a relaxed structure of BeReI3, with properties calculated at the PBE level.

Geometry as extended XYZ:
```
5
Lattice="5.5298 0.0000 0.0000 0.0000 5.5298 0.0000 0.0000 0.0000 5.5298" Properties=species:S:1:pos:R:3 pbc="T T T"
I 0.0000 2.7649 0.0000
I 0.0000 0.0000 2.7649
I 2.7649 0.0000 0.0000
Re 0.0000 0.0000 0.0000
Be 2.7649 2.7649 2.7649
```

Summary:
Symmetry = Pm-3m (221)
Crystal system = cubic
Size of the total moment = 2.9 μB per formula unit



Most stable structure - two; separation to the second - 0.406 eV/atom.



one.
Below is a relaxed structure of BeRe3I, with properties calculated at the PBE level.

Geometry as extended XYZ:
```
5
Lattice="4.3047 0.0000 0.0000 0.0000 4.3047 0.0000 0.0000 0.0000 4.3047" Properties=species:S:1:pos:R:3 pbc="T T T"
I 2.1523 2.1523 2.1523
Re 0.0000 2.1523 0.0000
Re 0.0000 0.0000 2.1523
Re 2.1523 0.0000 0.0000
Be 0.0000 0.0000 0.0000
```

Summary:
Symmetry = Pm-3m (221)
Crystal system = cubic
Size of the total moment = 0.0 μB per formula unit



two.
Below is a relaxed structure of BeRe3I, with properties calculated at the PBE level.

Geometry as extended XYZ:
```
5
Lattice="-1.5849 3.1135 3.2880 0.9275 -3.1865 3.4644 4.4322 1.7801 0.4507" Properties=species:S:1:pos:R:3 pbc="T T T"
I 0.0000 0.0000 0.0000
Re 0.4638 -1.5932 1.7322
Re 2.2161 0.8901 0.2254
Re -0.7924 1.5567 1.6440
Be 1.8874 0.8536 3.6016
```

Summary:
Symmetry = Pm-3m (221)
Crystal system = cubic
Size of the total moment = 2.0 μB per formula unit



Most stable structure - one; separation to the second - 1.645 eV/atom.



one.
Below is a relaxed structure of BeRe2I, with properties calculated at the PBE level.

Geometry as extended XYZ:
```
8
Lattice="-1.7364 1.5355 -3.5308 0.5349 -3.7395 -1.8893 -7.9955 -3.4755 -0.1056" Properties=species:S:1:pos:R:3 pbc="T T T"
I 0.0000 0.0000 0.0000
I -5.1664 -1.5210 -3.1732
Re -2.8615 -0.5144 -2.1526
Re -2.0374 -2.8764 -1.9653
Re -6.3993 -3.7686 -2.2812
Re -7.0960 -4.1997 -4.6523
Be -0.6008 -1.1020 -2.7101
Be -4.0307 -4.1585 -2.3525
```

Summary:
Symmetry = I-42d (122)
Crystal system = tetragonal
Size of the total moment = 0.0 μB per formula unit



two.
Below is a relaxed structure of BeRe2I, with properties calculated at the PBE level.

Geometry as extended XYZ:
```
4
Lattice="2.4753 -2.9090 -2.1451 -0.7739 -4.2884 0.4493 -1.6940 -2.2811 -3.3343" Properties=species:S:1:pos:R:3 pbc="T T T"
I 0.0037 -4.7392 -2.5151
Re 0.0018 -2.3696 -1.2576
Re 0.0055 -7.1089 -3.7727
Be 0.0000 0.0000 0.0000
```

Summary:
Symmetry = Fm-3m (225)
Crystal system = cubic
Size of the total moment = 0.0 μB per formula unit



Most stable structure - two; separation to the second - 0.021 eV/atom.



one.
Below is a relaxed structure of BeReSb2I, with properties calculated at the PBE level.

Geometry as extended XYZ:
```
5
Lattice="-1.5276 -1.4371 -4.7055 4.1190 -0.9602 -1.0440 -0.6927 -4.8152 1.6955" Properties=species:S:1:pos:R:3 pbc="T T T"
I 0.9493 -3.6062 -2.0270
Re 2.0595 -0.4801 -0.5220
Be 0.0000 0.0000 0.0000
Sb -0.3464 -2.4076 0.8477
Sb -0.7638 -0.7185 -2.3528
```

Summary:
Symmetry = P4/mmm (123)
Crystal system = tetragonal
Size of the total moment = 1.6 μB per formula unit



two.
Below is a relaxed structure of BeReSb2I, with properties calculated at the PBE level.

Geometry as extended XYZ:
```
5
Lattice="4.8156 0.0000 0.0000 0.0000 4.8156 0.0000 0.0000 0.0000 5.1076" Properties=species:S:1:pos:R:3 pbc="T T T"
I 0.0000 0.0000 2.5538
Re 2.4078 2.4078 2.5538
Be 0.0000 0.0000 0.0000
Sb 0.0000 2.4078 0.0000
Sb 2.4078 0.0000 0.0000
```

Summary:
Symmetry = P4/mmm (123)
Crystal system = tetragonal
Size of the total moment = 2.8 μB per formula unit



three.
Below is a relaxed structure of BeReSb2I, with properties calculated at the PBE level.

Geometry as extended XYZ:
```
5
Lattice="5.0808 0.0000 0.0000 0.0000 5.0808 0.0000 0.0000 0.0000 5.9399" Properties=species:S:1:pos:R:3 pbc="T T T"
I 0.0000 0.0000 2.9700
Re 0.0000 0.0000 0.0000
Be 2.5404 2.5404 2.9700
Sb 0.0000 2.5404 0.0000
Sb 2.5404 0.0000 0.0000
```

Summary:
Symmetry = P4/mmm (123)
Crystal system = tetragonal
Size of the total moment = 0.0 μB per formula unit



Most stable structure - three; separation to the second - 0.055 eV/atom.